LiMoIr2, relaxed, DFT GGA-PBE; formation energy from the elements = 144 meV per atom; DFT total energy = -7.47 eV per atom
1.0
3.179 0.000 0.000
0.000 3.179 0.000
0.000 0.000 5.613
Ir Li Mo
2 1 1
Cartesian
0.000 0.000 5.496
1.589 1.589 1.664
0.000 0.000 2.704
1.589 1.589 4.169

***

LiMo2Ir, relaxed, DFT GGA-PBE; formation energy from the elements = 285 meV per atom; DFT total energy = -7.82 eV per atom
1.0
0.000 3.083 3.083
3.083 0.000 3.083
3.083 3.083 0.000
Mo Ir Li
2 1 1
Cartesian
1.541 1.541 1.541
4.624 4.624 4.624
3.083 3.083 3.083
0.000 0.000 0.000

***

Li2MoIr, relaxed, DFT GGA-PBE; formation energy from the elements = 204 meV per atom; DFT total energy = -5.68 eV per atom
1.0
2.563 0.000 0.000
0.000 2.563 0.000
0.000 0.000 8.939
Ir Li Mo
1 2 1
Cartesian
1.281 1.281 6.704
0.000 0.000 8.753
0.000 0.000 4.655
1.281 1.281 2.235

***

LiMo2Ir, relaxed, DFT GGA-PBE; formation energy from the elements = 113 meV per atom; DFT total energy = -8.00 eV per atom
1.0
2.727 0.000 0.000
0.000 3.902 0.000
0.000 0.000 5.494
Ir Li Mo
1 1 2
Cartesian
0.000 0.000 2.828
1.364 1.951 4.074
0.000 0.000 5.389
1.364 1.951 1.444

***

Li2MoIr, relaxed, DFT GGA-PBE; formation energy from the elements = 72 meV per atom; DFT total energy = -5.81 eV per atom
1.0
-2.683 -1.013 0.228
0.618 -2.066 -1.905
2.163 -4.480 5.562
Ir Li Mo
1 2 1
Cartesian
0.595 -4.911 3.348
2.110 -4.369 5.424
-0.515 -2.612 0.493
1.153 -2.387 2.963

***

LiMo2Ir, relaxed, DFT GGA-PBE; formation energy from the elements = 221 meV per atom; DFT total energy = -7.89 eV per atom
1.0
-1.125 -2.044 1.391
0.128 -1.575 -2.210
7.659 -2.635 2.322
Ir Li Mo
1 1 2
Cartesian
1.416 -2.468 0.171
5.246 -3.785 1.333
0.122 -0.042 0.037
3.708 -1.275 1.124

***

Li2MoIr, relaxed, DFT GGA-PBE; formation energy from the elements = -55 meV per atom; DFT total energy = -5.94 eV per atom
1.0
-0.167 3.766 1.976
-2.676 1.453 -2.973
-0.913 -3.569 2.131
Ir Li Mo
1 2 1
Cartesian
-2.505 0.246 -0.670
-2.842 5.217 -0.998
-1.251 1.404 1.804
-1.421 2.609 -0.499

***

Li2MoIr, relaxed, DFT GGA-PBE; formation energy from the elements = 46 meV per atom; DFT total energy = -5.83 eV per atom
1.0
-0.008 2.698 -0.399
-3.178 -0.361 -2.379
-3.396 0.648 4.440
Ir Li Mo
1 2 1
Cartesian
-4.037 1.635 1.806
-0.037 0.007 0.048
-2.368 1.316 -0.376
-1.839 0.351 2.405

***

> What is the formation energy from the elements in the first record?

144 meV per atom